! GGA-PBE TaZnBi2Mo, relaxed; values from VASP
&SYSTEM
  ibrav = 0, nat = 5, ntyp = 4
/
ATOMIC_SPECIES
Ta 180.95 Ta.upf
Zn 65.41 Zn.upf
Bi 208.98 Bi.upf
Mo 95.94 Mo.upf
ATOMIC_POSITIONS crystal
Ta 0.0000 0.0000 0.0000
Zn 0.5000 0.5000 0.0000
Bi 0.0000 0.5000 0.5000
Bi 0.5000 0.0000 0.5000
Mo 0.5000 0.5000 0.5000
CELL_PARAMETERS angstrom
5.3122 0.0000 0.0000
0.0000 5.3122 0.0000
0.0000 0.0000 4.8815
! energy of formation = 32.9 kcal/mol of atoms
! magnetic moment = 3.2 μB/cell
! VASP energy = -4.92 eV/atom


! GGA-PBE AgSe, relaxed; values from VASP
&SYSTEM
  ibrav = 0, nat = 4, ntyp = 2
/
ATOMIC_SPECIES
Ag 107.87 Ag.upf
Se 78.96 Se.upf
ATOMIC_POSITIONS crystal
Ag 0.3750 0.6250 0.7500
Ag 0.6250 0.3750 0.2500
Se 0.1250 0.8750 0.2500
Se 0.8750 0.1250 0.7500
CELL_PARAMETERS angstrom
-1.8932 1.8932 6.2398
1.8932 -1.8932 6.2398
1.8932 1.8932 -6.2398
! magnetic moment = 0.0 μB/cell
! VASP energy = -2.98 eV/atom


! GGA-PBE CuReHg2, relaxed; values from VASP
&SYSTEM
  ibrav = 0, nat = 8, ntyp = 3
/
ATOMIC_SPECIES
Cu 63.55 Cu.upf
Re 186.21 Re.upf
Hg 200.59 Hg.upf
ATOMIC_POSITIONS crystal
Cu 0.0000 0.0000 0.0000
Cu 0.7500 0.2500 0.5000
Re 0.2500 0.7500 0.5000
Re 0.5000 0.5000 0.0000
Hg 0.1236 0.6250 0.9986
Hg 0.3750 0.3736 0.4986
Hg 0.6264 0.1250 0.0014
Hg 0.8750 0.8764 0.5014
CELL_PARAMETERS angstrom
-1.9859 1.9859 9.7073
1.9859 -1.9859 9.7073
1.9859 1.9859 -9.7073
! energy of formation = 25.6 kcal/mol of atoms
! magnetic moment = 1.1 μB/cell
! energy above the lowest structure with this stoichiometry = 566 meV per atom
! VASP energy = -3.18 eV/atom


! GGA-PBE MnZn2Os, relaxed; values from VASP
&SYSTEM
  ibrav = 0, nat = 4, ntyp = 3
/
ATOMIC_SPECIES
Mn 54.94 Mn.upf
Zn 65.41 Zn.upf
Os 190.23 Os.upf
ATOMIC_POSITIONS crystal
Mn 0.0000 0.0000 0.0000
Zn 0.2507 0.2507 0.2507
Zn 0.7493 0.7493 0.7493
Os 0.5000 0.5000 0.5000
CELL_PARAMETERS angstrom
1.3603 0.7854 8.7472
-1.3603 0.7854 8.7472
0.0000 -1.5707 8.7472
! energy of formation = 4.4 kcal/mol of atoms
! magnetic moment = 2.9 μB/cell
! energy above the lowest structure with this stoichiometry = 156 meV per atom
! VASP energy = -5.55 eV/atom